Record 1
Li2Zn7Ga2 | PBE | optimized geometry

## Properties
VASP energy: -1.804 eV per atom

abc: 6.403 6.403 5.034
angles: 111.55 111.55 85.36
Sites, in units of the cell vectors:
1 Li 0.200 0.800 0.000
2 Li 0.800 0.200 0.000
3 Zn 0.000 0.000 0.500
4 Zn 0.071 0.588 0.332
5 Zn 0.270 0.270 0.044
6 Zn 0.412 0.929 0.668
7 Zn 0.588 0.071 0.332
8 Zn 0.730 0.730 0.956
9 Zn 0.929 0.412 0.668
10 Ga 0.387 0.387 0.658
11 Ga 0.613 0.613 0.342


Record 2
Li8ZnGa2 | PBE | optimized geometry

## Properties
VASP energy: -2.248 eV per atom

abc: 7.849 7.849 5.416
angles: 91.94 91.94 32.12
Sites, in units of the cell vectors:
1 Li 0.049 0.049 0.239
2 Li 0.143 0.143 0.678
3 Li 0.316 0.316 0.606
4 Li 0.405 0.405 0.052
5 Li 0.595 0.595 0.948
6 Li 0.684 0.684 0.394
7 Li 0.857 0.857 0.322
8 Li 0.951 0.951 0.761
9 Zn 0.500 0.500 0.500
10 Ga 0.228 0.228 0.128
11 Ga 0.772 0.772 0.872


Record 3
LiZn12Ga6 | PBE | optimized geometry

## Properties
Excess energy over the best structure of this formula in the dataset: 0.10 eV per formula unit
VASP energy: -1.847 eV per atom

abc: 7.096 7.096 7.096
angles: 104.72 104.72 104.72
Sites, in units of the cell vectors:
1 Li 0.000 0.000 0.000
2 Zn 0.057 0.794 0.268
3 Zn 0.196 0.630 0.541
4 Zn 0.206 0.732 0.943
5 Zn 0.268 0.057 0.794
6 Zn 0.370 0.459 0.804
7 Zn 0.459 0.804 0.370
8 Zn 0.541 0.196 0.630
9 Zn 0.630 0.541 0.196
10 Zn 0.732 0.943 0.206
11 Zn 0.794 0.268 0.057
12 Zn 0.804 0.370 0.459
13 Zn 0.943 0.206 0.732
14 Ga 0.127 0.215 0.418
15 Ga 0.215 0.418 0.127
16 Ga 0.418 0.127 0.215
17 Ga 0.582 0.873 0.785
18 Ga 0.785 0.582 0.873
19 Ga 0.873 0.785 0.582


Record 4
LiZn3Ga6 | PBE | optimized geometry

## Properties
VASP energy: -2.432 eV per atom

abc: 7.309 7.309 7.309
angles: 104.27 104.27 104.27
Sites, in units of the cell vectors:
1 Li 0.000 0.000 0.000
2 Li 0.500 0.500 0.500
3 Zn 0.117 0.253 0.389
4 Zn 0.253 0.389 0.117
5 Zn 0.389 0.117 0.253
6 Zn 0.611 0.883 0.747
7 Zn 0.747 0.611 0.883
8 Zn 0.883 0.747 0.611
9 Ga 0.085 0.146 0.705
10 Ga 0.146 0.705 0.085
11 Ga 0.171 0.643 0.463
12 Ga 0.295 0.915 0.854
13 Ga 0.357 0.537 0.829
14 Ga 0.463 0.171 0.643
15 Ga 0.537 0.829 0.357
16 Ga 0.643 0.463 0.171
17 Ga 0.705 0.085 0.146
18 Ga 0.829 0.357 0.537
19 Ga 0.854 0.295 0.915
20 Ga 0.915 0.854 0.295


Record 5
LiZn5Ga3 | PBE | optimized geometry

## Properties
VASP energy: -1.840 eV per atom

abc: 7.565 7.565 7.565
angles: 117.17 117.17 94.97
Sites, in units of the cell vectors:
1 Li 0.250 0.750 0.500
2 Li 0.750 0.250 0.500
3 Zn 0.000 0.000 0.000
4 Zn 0.068 0.568 0.908
5 Zn 0.160 0.068 0.500
6 Zn 0.340 0.840 0.908
7 Zn 0.432 0.340 0.500
8 Zn 0.500 0.500 0.000
9 Zn 0.568 0.660 0.500
10 Zn 0.660 0.160 0.092
11 Zn 0.840 0.932 0.500
12 Zn 0.932 0.432 0.092
13 Ga 0.109 0.391 0.500
14 Ga 0.250 0.250 0.000
15 Ga 0.391 0.891 0.283
16 Ga 0.609 0.109 0.717
17 Ga 0.750 0.750 0.000
18 Ga 0.891 0.609 0.500


Record 6
LiZn3Ga3 | PBE | optimized geometry

## Properties
Excess energy over the best structure of this formula in the dataset: 2.53 eV per formula unit
VASP energy: -1.819 eV per atom

abc: 7.094 7.094 7.094
angles: 90.00 90.00 90.00
Sites, in units of the cell vectors:
1 Li 0.000 0.000 0.000
2 Li 0.500 0.500 0.500
3 Zn 0.000 0.250 0.500
4 Zn 0.000 0.750 0.500
5 Zn 0.250 0.500 0.000
6 Zn 0.500 0.000 0.250
7 Zn 0.500 0.000 0.750
8 Zn 0.750 0.500 0.000
9 Ga 0.000 0.500 0.250
10 Ga 0.000 0.500 0.750
11 Ga 0.250 0.000 0.500
12 Ga 0.500 0.250 0.000
13 Ga 0.500 0.750 0.000
14 Ga 0.750 0.000 0.500


Record 7
Li2Zn2Ga | PBE | optimized geometry

## Properties
Excess energy over the best structure of this formula in the dataset: 0.00 eV per formula unit
VASP energy: -2.115 eV per atom

abc: 7.473 4.370 5.136
angles: 90.00 118.38 90.00
Sites, in units of the cell vectors:
1 Li 0.203 0.000 0.111
2 Li 0.297 0.500 0.889
3 Li 0.703 0.500 0.111
4 Li 0.797 0.000 0.889
5 Zn 0.096 0.500 0.286
6 Zn 0.404 0.000 0.714
7 Zn 0.596 0.000 0.286
8 Zn 0.904 0.500 0.714
9 Ga 0.000 0.000 0.500
10 Ga 0.500 0.500 0.500


Record 8
Li8ZnGa6 | PBE | optimized geometry

## Properties
VASP energy: -2.528 eV per atom

abc: 7.014 7.014 7.014
angles: 64.79 64.79 64.79
Sites, in units of the cell vectors:
1 Li 0.038 0.717 0.382
2 Li 0.162 0.162 0.162
3 Li 0.283 0.618 0.962
4 Li 0.382 0.038 0.717
5 Li 0.618 0.962 0.283
6 Li 0.717 0.382 0.038
7 Li 0.838 0.838 0.838
8 Li 0.962 0.283 0.618
9 Zn 0.500 0.500 0.500
10 Ga 0.124 0.458 0.788
11 Ga 0.212 0.876 0.542
12 Ga 0.458 0.788 0.124
13 Ga 0.542 0.212 0.876
14 Ga 0.788 0.124 0.458
15 Ga 0.876 0.542 0.212


Record 9
Li4ZnGa2 | PBE | optimized geometry

## Properties
Excess energy over the best structure of this formula in the dataset: 0.00 eV per formula unit
VASP energy: -2.354 eV per atom

abc: 4.660 4.927 5.585
angles: 101.16 97.93 110.38
Sites, in units of the cell vectors:
1 Li 0.000 0.000 0.000
2 Li 0.007 0.591 0.282
3 Li 0.403 0.383 0.483
4 Li 0.424 0.973 0.770
5 Zn 0.936 0.441 0.754
6 Ga 0.471 0.530 0.005
7 Ga 0.698 0.988 0.379


Record 10
LiZn3Ga2 | PBE | optimized geometry

## Properties
Excess energy over the best structure of this formula in the dataset: 0.04 eV per formula unit
VASP energy: -2.055 eV per atom

abc: 3.950 11.956 4.005
angles: 90.00 90.00 90.00
Sites, in units of the cell vectors:
1 Li 0.000 0.000 0.000
2 Li 0.500 0.500 0.000
3 Zn 0.000 0.163 0.500
4 Zn 0.000 0.500 0.500
5 Zn 0.000 0.837 0.500
6 Zn 0.500 0.000 0.500
7 Zn 0.500 0.337 0.500
8 Zn 0.500 0.663 0.500
9 Ga 0.000 0.333 0.000
10 Ga 0.000 0.667 0.000
11 Ga 0.500 0.167 0.000
12 Ga 0.500 0.833 0.000


Record 11
LiZrGa | PBE | optimized geometry

## Properties
Excess energy over the best structure of this formula in the dataset: 0.36 eV per formula unit
VASP energy: -4.728 eV per atom

abc: 3.656 4.159 8.327
angles: 104.36 96.24 90.01
Sites, in units of the cell vectors:
1 Li 0.224 0.286 0.071
2 Li 0.776 0.714 0.929
3 Zr 0.291 0.082 0.667
4 Zr 0.709 0.918 0.333
5 Ga 0.221 0.444 0.387
6 Ga 0.779 0.556 0.613


Record 12
Li2ZrGa2 | PBE | optimized geometry

## Properties
Excess energy over the best structure of this formula in the dataset: 0.00 eV per formula unit
VASP energy: -3.985 eV per atom

abc: 7.623 7.623 2.775
angles: 90.00 90.00 90.00
Sites, in units of the cell vectors:
1 Li 0.116 0.384 0.000
2 Li 0.384 0.884 0.000
3 Li 0.616 0.116 0.000
4 Li 0.884 0.616 0.000
5 Zr 0.000 0.000 0.000
6 Zr 0.500 0.500 0.000
7 Ga 0.182 0.682 0.500
8 Ga 0.318 0.182 0.500
9 Ga 0.682 0.818 0.500
10 Ga 0.818 0.318 0.500


Record 13
LiZrGa | PBE | optimized geometry

## Properties
Excess energy over the best structure of this formula in the dataset: 0.44 eV per formula unit
VASP energy: -4.702 eV per atom

abc: 3.329 4.307 7.548
angles: 90.00 90.00 90.00
Sites, in units of the cell vectors:
1 Li 0.000 0.000 0.000
2 Li 0.500 0.000 0.263
3 Zr 0.000 0.500 0.413
4 Zr 0.500 0.000 0.654
5 Ga 0.000 0.500 0.787
6 Ga 0.500 0.500 0.069


Record 14
Li3ZrGa | PBE | optimized geometry

## Properties
Excess energy over the best structure of this formula in the dataset: 0.00 eV per formula unit
VASP energy: -3.073 eV per atom

abc: 4.514 4.514 4.514
angles: 90.00 90.00 90.00
Sites, in units of the cell vectors:
1 Li 0.000 0.000 0.500
2 Li 0.000 0.500 0.000
3 Li 0.500 0.000 0.000
4 Zr 0.500 0.500 0.500
5 Ga 0.000 0.000 0.000


Record 15
Li2ZrGa2 | PBE | optimized geometry

## Properties
Excess energy over the best structure of this formula in the dataset: 0.02 eV per formula unit
VASP energy: -3.981 eV per atom

abc: 3.765 3.765 12.217
angles: 90.00 90.00 90.00
Sites, in units of the cell vectors:
1 Li 0.000 0.500 0.250
2 Li 0.000 0.500 0.750
3 Li 0.500 0.000 0.250
4 Li 0.500 0.000 0.750
5 Zr 0.000 0.000 0.000
6 Zr 0.500 0.500 0.500
7 Ga 0.000 0.000 0.399
8 Ga 0.000 0.000 0.601
9 Ga 0.500 0.500 0.101
10 Ga 0.500 0.500 0.899


Record 16
LiZrGa | PBE | optimized geometry

## Properties
Excess energy over the best structure of this formula in the dataset: 0.06 eV per formula unit
VASP energy: -4.829 eV per atom

abc: 3.409 4.190 15.536
angles: 90.00 90.00 90.00
Sites, in units of the cell vectors:
1 Li 0.000 0.000 0.000
2 Li 0.000 0.000 0.500
3 Li 0.500 0.500 0.000
4 Li 0.500 0.500 0.500
5 Zr 0.000 0.500 0.185
6 Zr 0.000 0.500 0.815
7 Zr 0.500 0.000 0.315
8 Zr 0.500 0.000 0.685
9 Ga 0.000 0.500 0.371
10 Ga 0.000 0.500 0.629
11 Ga 0.500 0.000 0.129
12 Ga 0.500 0.000 0.871


Record 17
LiZrGa3 | PBE | optimized geometry

## Properties
Excess energy over the best structure of this formula in the dataset: 0.00 eV per formula unit
VASP energy: -3.795 eV per atom

abc: 4.446 4.446 4.446
angles: 90.00 90.00 90.00
Sites, in units of the cell vectors:
1 Li 0.000 0.000 0.000
2 Zr 0.500 0.500 0.500
3 Ga 0.000 0.000 0.500
4 Ga 0.000 0.500 0.000
5 Ga 0.500 0.000 0.000


Record 18
LiZrGa | PBE | optimized geometry

## Properties
Excess energy over the best structure of this formula in the dataset: 0.45 eV per formula unit
VASP energy: -4.699 eV per atom

abc: 3.080 3.080 11.254
angles: 90.00 90.00 90.00
Sites, in units of the cell vectors:
1 Li 0.000 0.000 0.000
2 Li 0.500 0.500 0.500
3 Zr 0.000 0.000 0.302
4 Zr 0.500 0.500 0.802
5 Ga 0.000 0.000 0.630
6 Ga 0.500 0.500 0.130


Record 19
LiZrGa | PBE | optimized geometry

## Properties
Excess energy over the best structure of this formula in the dataset: 0.39 eV per formula unit
VASP energy: -4.719 eV per atom

abc: 3.180 4.444 7.542
angles: 90.00 90.00 90.00
Sites, in units of the cell vectors:
1 Li 0.000 0.000 0.165
2 Li 0.000 0.000 0.835
3 Zr 0.500 0.000 0.500
4 Zr 0.500 0.500 0.000
5 Ga 0.000 0.500 0.328
6 Ga 0.000 0.500 0.672


Record 20
LiZrGa | PBE | optimized geometry

## Properties
Excess energy over the best structure of this formula in the dataset: 0.39 eV per formula unit
VASP energy: -4.718 eV per atom

abc: 4.499 4.499 5.674
angles: 90.00 90.00 120.00
Sites, in units of the cell vectors:
1 Li 0.333 0.667 0.250
2 Li 0.667 0.333 0.750
3 Zr 0.333 0.667 0.750
4 Zr 0.667 0.333 0.250
5 Ga 0.000 0.000 0.000
6 Ga 0.000 0.000 0.500


| no. | total magnetization (μB per formula unit) | E_form (eV/atom) | N(E_F) (states/eV/f.u.) |
| --- | --- | --- | --- |
| 1 | 0.0 | -0.095 | 3.19 |
| 2 | 0.0 | -0.190 | 3.17 |
| 3 | 0.0 | 0.014 | 5.43 |
| 4 | 0.0 | -0.042 | 2.61 |
| 5 | 0.0 | 0.090 | 2.30 |
| 6 | 0.0 | 0.298 | 4.86 |
| 7 | 0.0 | -0.235 | 0.85 |
| 8 | 0.0 | -0.212 | 2.36 |
| 9 | 0.0 | -0.213 | 1.33 |
| 10 | 0.0 | -0.090 | 1.48 |
| 11 | 0.0 | -0.232 | 1.82 |
| 12 | 0.0 | -0.299 | 1.28 |
| 13 | 0.0 | -0.206 | 2.03 |
| 14 | 0.0 | 0.390 | 1.32 |
| 15 | 0.0 | -0.295 | 1.92 |
| 16 | 0.0 | -0.333 | 2.26 |
| 17 | 0.0 | 0.113 | 2.27 |
| 18 | 0.0 | -0.203 | 2.52 |
| 19 | 0.0 | -0.222 | 1.57 |
| 20 | 0.0 | -0.222 | 0.52 |